[1]
DFT (GGA-PBE) results for an optimized crystal structure of MnZnCo.

## Properties
For the spin magnetization, the calculation gives 4.251 μB/cell. For the energy above the most stable polymorph in this dataset, the calculation gives 0.0543 eV per atom.

Cell: 4.1167 4.1167 2.5426 Å, 90.00 90.00 120.00°
Space group P3m1 (No. 156)
Symmetry-distinct sites (fractional):
Mn 0.0000 0.0000 0.0000 (multiplicity 1)
Zn 0.6667 0.3333 0.3867 (multiplicity 1)
Co 0.3333 0.6667 0.7298 (multiplicity 1)

[2]
DFT (GGA-PBE) results for an optimized crystal structure of MnZnCo.

## Properties
For the spin magnetization, the calculation gives 8.379 μB/cell. For the energy above the most stable polymorph in this dataset, the calculation gives 0.0000 eV per atom.

Cell: 2.9687 2.9687 8.5163 Å, 90.00 90.00 90.00°
Space group I4mm (No. 107)
Symmetry-distinct sites (fractional):
Mn 0.0000 0.0000 0.0000 (multiplicity 2)
Zn 0.0000 0.0000 0.3177 (multiplicity 2)
Co 0.0000 0.0000 0.6491 (multiplicity 2)

[3]
DFT (GGA-PBE) results for an optimized crystal structure of MnZn2Co3.

## Properties
Its total energy is -5.490 eV per atom. For the spin magnetization, the calculation gives 13.105 μB/cell.

Cell: 4.0351 12.1238 5.7181 Å, 90.00 90.00 90.00°
Space group Cmmm (No. 65)
Symmetry-distinct sites (fractional):
Mn 0.0000 0.1644 0.0000 (multiplicity 4)
Zn 0.0000 0.1669 0.5000 (multiplicity 4)
Zn 0.0000 0.5000 0.0000 (multiplicity 2)
Zn 0.0000 0.5000 0.5000 (multiplicity 2)
Co 0.0000 0.0000 0.2457 (multiplicity 4)
Co 0.0000 0.3296 0.2375 (multiplicity 8)

[4]
DFT (GGA-PBE) results for an optimized crystal structure of MnZn3Co2.

## Properties
Its total energy is -4.532 eV per atom. For the spin magnetization, the calculation gives 11.133 μB/cell.

Cell: 3.6958 10.9753 3.7440 Å, 90.00 90.00 90.00°
Space group Cmmm (No. 65)
Symmetry-distinct sites (fractional):
Mn 0.0000 0.0000 0.0000 (multiplicity 2)
Zn 0.0000 0.1697 0.5000 (multiplicity 4)
Zn 0.0000 0.5000 0.5000 (multiplicity 2)
Co 0.0000 0.3336 0.0000 (multiplicity 4)